# GGA-PBE CsRb2AgS, relaxed
data_CsRb2AgS
_cell_length_a 6.372
_cell_length_b 6.372
_cell_length_c 6.729
_cell_angle_alpha 90.00
_cell_angle_beta 90.00
_cell_angle_gamma 90.00
_space_group_name_H-M_alt 'P 4/m m m'
_space_group_IT_number 123
_space_group_name_Hall '-P 4 2'
loop_
_atom_site_label
_atom_site_type_symbol
_atom_site_fract_x
_atom_site_fract_y
_atom_site_fract_z
Cs1 Cs 0.000 0.000 0.000
Rb1 Rb 0.000 0.500 0.500
Ag1 Ag 0.500 0.500 0.000
S1 S 0.000 0.000 0.500
# energy = -2.444 eV per atom